No. 1
Compound: Cd2BiAu2
Source: Alexandria
Functional: GGA-PBEsol
Structure: optimized geometry

## Properties
Magnetic moment   0.0 μB per formula unit
Fermi-level density of states   4.586 states/eV per cell
Space group   No. 127
Energy relative to the lowest polymorph listed for this composition   0.0 kJ/mol of formula units
Crystal system   tetragonal
Calculated volume   20.79 Å³/atom

POSCAR file:
```
Cd2BiAu2
1.0
3.152 0.000 0.000
0.000 8.121 0.000
0.000 0.000 8.121
Cd Bi Au
4 2 4
Cartesian
1.576 2.724 1.336 Cd
1.576 1.336 5.397 Cd
1.576 6.785 2.724 Cd
1.576 5.397 6.785 Cd
0.000 4.061 4.061 Bi
0.000 0.000 0.000 Bi
0.000 2.998 7.059 Au
0.000 7.059 5.123 Au
0.000 1.062 2.998 Au
0.000 5.123 1.062 Au
```

No. 2
Compound: CeBi2Au
Source: Alexandria
Functional: GGA-PBEsol
Structure: optimized geometry

## Properties
Total energy   -0.196 hartree per atom
Magnetic moment   0.6 μB per formula unit
Fermi-level density of states   9.427 states/eV per cell
Space group   No. 129
Crystal system   tetragonal
Calculated volume   25.69 Å³/atom

POSCAR file:
```
CeBi2Au
1.0
-0.941 4.513 -0.410
-4.464 -0.850 0.881
1.624 1.192 9.381
Bi Au Ce
4 2 2
Cartesian
-1.890 2.427 4.925 Bi
-1.914 -0.192 2.275 Bi
0.836 3.215 7.341 Bi
0.812 0.596 4.690 Bi
-2.702 1.831 0.235 Au
0.000 0.000 0.000 Au
-0.984 0.490 7.646 Ce
-0.094 2.533 1.969 Ce
```

No. 3
Compound: BiAuCl6
Source: Alexandria
Functional: GGA-PBEsol
Structure: optimized geometry

## Properties
Magnetic moment   0.0 μB per formula unit
Fermi-level density of states   0.000 states/eV per cell
E_form (uncorrected)   -5.20 eV per formula unit
Space group   No. 2
Crystal system   triclinic
Calculated volume   28.37 Å³/atom

POSCAR file:
```
BiAuCl6
1.0
7.516 0.013 -0.028
-3.680 9.230 0.085
-1.591 -4.149 13.052
Cl Au Bi
24 4 4
Cartesian
4.084 1.789 10.190 Cl
-0.251 5.132 0.367 Cl
0.035 0.560 6.256 Cl
2.689 4.527 2.870 Cl
4.591 -1.517 6.329 Cl
-2.346 6.612 6.780 Cl
2.496 -0.037 12.742 Cl
-2.214 4.756 9.789 Cl
2.210 4.535 6.853 Cl
3.912 -3.107 12.685 Cl
-0.444 0.567 10.239 Cl
0.749 3.567 9.858 Cl
-3.596 7.644 3.591 Cl
5.841 -2.549 9.518 Cl
2.785 7.237 0.379 Cl
-1.668 8.202 0.425 Cl
3.110 1.424 6.580 Cl
-1.839 3.305 2.919 Cl
1.495 1.528 3.251 Cl
-0.456 6.370 3.488 Cl
2.701 -1.275 9.621 Cl
-0.865 3.670 6.529 Cl
-0.540 -2.142 12.730 Cl
4.459 0.339 3.321 Cl
0.000 0.000 0.000 Au
1.122 2.547 6.555 Au
3.578 2.428 3.069 Au
-1.333 2.667 10.040 Au
0.015 5.984 8.187 Bi
-2.493 5.795 1.730 Bi
2.229 -0.889 4.922 Bi
4.738 -0.700 11.380 Bi
```

No. 4
Compound: HgBiAu2Cl
Source: Alexandria
Functional: GGA-PBEsol
Structure: optimized geometry

## Properties
Magnetic moment   0.0 μB per formula unit
Fermi-level density of states   3.053 states/eV per cell
E_form (uncorrected)   3.27 eV per formula unit
Space group   No. 123
Crystal system   tetragonal
Calculated volume   25.57 Å³/atom

POSCAR file:
```
HgBiAu2Cl
1.0
-0.831 -3.819 2.629
-2.506 -1.877 -3.519
4.772 -2.471 -2.080
Au Cl Bi Hg
2 1 1 1
Cartesian
-0.416 -1.909 1.315 Au
-1.253 -0.939 -1.760 Au
0.000 0.000 0.000 Cl
0.718 -4.084 -1.485 Bi
2.386 -1.235 -1.040 Hg
```

No. 5
Compound: K2BiAuCl6
Source: Alexandria
Functional: GGA-PBEsol
Structure: optimized geometry

## Properties
Magnetic moment   0.0 μB per formula unit
E_form (uncorrected)   -11.19 eV per formula unit
Space group   No. 225
Crystal system   cubic
Calculated volume   29.68 Å³/atom

POSCAR file:
```
K2BiAuCl6
1.0
-3.277 6.634 1.145
-6.286 0.422 4.046
0.131 3.116 6.807
Cl Bi K Au
6 1 2 1
Cartesian
-5.425 4.324 8.388 Cl
-3.944 7.381 6.960 Cl
-2.331 4.116 6.397 Cl
-5.489 2.790 5.038 Cl
-7.102 6.056 5.601 Cl
-4.008 5.848 3.610 Cl
0.000 0.000 0.000 Bi
-2.358 2.543 2.999 K
-7.075 7.629 8.998 K
-4.716 5.086 5.999 Au
```

No. 6
Compound: BiPAuCl2
Source: Alexandria
Functional: GGA-PBEsol
Structure: optimized geometry

## Properties
Magnetic moment   0.0 μB per formula unit
Fermi-level density of states   2.593 states/eV per cell
E_form (uncorrected)   1.32 eV per formula unit
Space group   No. 123
Energy relative to the lowest polymorph listed for this composition   63.7 kJ/mol of formula units
Crystal system   tetragonal
Calculated volume   23.02 Å³/atom

POSCAR file:
```
BiPAuCl2
1.0
-1.493 -1.924 -4.165
-0.949 -4.155 2.259
-4.601 1.556 0.930
Au Cl Bi P
1 2 1 1
Cartesian
0.000 0.000 0.000 Au
-0.746 -0.962 -2.082 Cl
-0.474 -2.078 1.130 Cl
-3.521 -2.262 -0.487 Bi
-2.300 0.778 0.465 P
```

No. 7
Compound: BiPAuCl2
Source: Alexandria
Functional: GGA-PBEsol
Structure: optimized geometry

## Properties
Magnetic moment   0.0 μB per formula unit
Fermi-level density of states   1.624 states/eV per cell
E_form (uncorrected)   0.66 eV per formula unit
Space group   No. 123
Energy relative to the lowest polymorph listed for this composition   0.0 kJ/mol of formula units
Crystal system   tetragonal
Calculated volume   23.37 Å³/atom

POSCAR file:
```
BiPAuCl2
1.0
-1.813 3.569 -1.981
-1.159 -2.529 -3.495
-5.132 -1.186 2.560
Au P Cl Bi
1 1 2 1
Cartesian
-4.052 -0.073 -1.458 Au
0.000 0.000 0.000 P
-0.907 1.785 -0.991 Cl
-0.580 -1.265 -1.747 Cl
-2.566 -0.593 1.280 Bi
```

No. 8
Compound: Rb2BiAuCl6
Source: Alexandria
Functional: GGA-PBEsol
Structure: optimized geometry

## Properties
Magnetic moment   0.0 μB per formula unit
E_form (uncorrected)   -11.60 eV per formula unit
Space group   No. 225
Crystal system   cubic
Calculated volume   29.93 Å³/atom

POSCAR file:
```
Rb2BiAuCl6
1.0
7.508 0.000 0.000
3.754 6.502 0.000
3.754 2.167 6.130
Rb Cl Bi Au
2 6 1 1
Cartesian
11.262 6.502 4.598 Rb
3.754 2.167 1.533 Rb
9.357 5.402 1.555 Cl
7.508 2.200 1.555 Cl
5.659 5.402 1.555 Cl
5.659 3.267 4.575 Cl
9.357 3.267 4.575 Cl
7.508 6.470 4.575 Cl
0.000 0.000 0.000 Bi
7.508 4.335 3.065 Au
```